Record 1
A geometry-optimized Zr3CdAu2 structure. Source: Alexandria via LeMat-Bulk, functional PBE-GGA.

Cell and atoms, written as POSCAR:
```
Zr3CdAu2
1.0
3.141 0.000 0.000
0.000 3.141 0.000
0.000 0.000 12.489
Cd Au Zr
1 2 3
direct
0.500 0.500 0.500 Cd
0.500 0.500 0.837 Au
0.500 0.500 0.163 Au
0.000 0.000 0.678 Zr
0.000 0.000 0.000 Zr
0.000 0.000 0.322 Zr
```

Summary:
Density of states at the Fermi level, states/eV per atom: 1.195
Calculated density, g/cm³: 10.5
Raw total energy, eV/atom: -5.8748
Excess energy over the best structure of this formula in the dataset, meV/atom: 0.0
Symmetry: P4/mmm, No. 123

=====

Record 2
A geometry-optimized ZrCdAu2 structure. Source: Alexandria via LeMat-Bulk, functional PBE-GGA.

Cell and atoms, written as POSCAR:
```
ZrCdAu2
1.0
4.836 0.133 -0.106
3.867 2.906 -0.106
0.868 0.303 5.943
Cd Zr Au
1 1 2
direct
0.750 0.750 0.750 Cd
0.250 0.250 0.250 Zr
0.500 0.500 0.494 Au
0.000 0.000 0.006 Au
```

Summary:
Density of states at the Fermi level, states/eV per atom: 0.510
Calculated density, g/cm³: 12.3
Raw total energy, eV/atom: -4.2489
Symmetry: C2/m, No. 12

=====

Record 3
A geometry-optimized ZrCdAu2 structure. Source: Alexandria via LeMat-Bulk, functional PBE-GGA.

Cell and atoms, written as POSCAR:
```
ZrCdAu2
1.0
-0.770 -2.272 -4.600
2.563 -2.082 -4.001
0.069 -4.827 1.143
Cd Au Zr
1 2 1
direct
0.494 0.494 0.533 Cd
0.746 0.746 0.727 Au
0.001 0.001 0.027 Au
0.259 0.259 0.213 Zr
```

Summary:
Density of states at the Fermi level, states/eV per atom: 0.528
Calculated density, g/cm³: 12.4
Raw total energy, eV/atom: -4.2890
Symmetry: Cm, No. 8

=====

Record 4
A geometry-optimized Zr3CdAu4 structure. Source: Alexandria via LeMat-Bulk, functional PBE-GGA.

Cell and atoms, written as POSCAR:
```
Zr3CdAu4
1.0
4.571 0.000 0.000
0.000 7.601 0.000
0.000 0.000 9.144
Cd Au Zr
2 8 6
direct
0.000 0.500 0.000 Cd
0.000 0.500 0.500 Cd
0.001 0.745 0.750 Au
0.001 0.255 0.750 Au
0.500 0.255 0.000 Au
0.999 0.255 0.250 Au
0.500 0.745 0.000 Au
0.999 0.745 0.250 Au
0.500 0.745 0.500 Au
0.500 0.255 0.500 Au
0.000 0.000 0.500 Zr
0.499 0.500 0.250 Zr
0.501 0.000 0.750 Zr
0.000 0.000 0.000 Zr
0.501 0.500 0.750 Zr
0.499 0.000 0.250 Zr
```

Summary:
Density of states at the Fermi level, states/eV per atom: 0.934
Calculated density, g/cm³: 12.3
Raw total energy, eV/atom: -5.3910
Symmetry: P4/mmm, No. 123

=====

Record 5
A geometry-optimized ZrCdAu2 structure. Source: Alexandria via LeMat-Bulk, functional PBE-GGA.

Cell and atoms, written as POSCAR:
```
ZrCdAu2
1.0
-6.447 1.890 -3.553
-3.555 -5.821 3.353
-5.764 -0.143 2.254
Cd Zr Au
2 2 4
direct
0.000 0.000 0.000 Cd
0.750 0.250 0.500 Cd
0.250 0.750 0.500 Zr
0.500 0.500 0.000 Zr
0.375 0.381 0.750 Au
0.875 0.869 0.750 Au
0.619 0.125 0.250 Au
0.131 0.625 0.250 Au
```

Summary:
Density of states at the Fermi level, states/eV per atom: 1.117
Calculated density, g/cm³: 11.2
Raw total energy, eV/atom: -4.0055
Symmetry: I-42d, No. 122

=====

Record 6
A geometry-optimized ZrCdAu3 structure. Source: Alexandria via LeMat-Bulk, functional PBE-GGA.

Cell and atoms, written as POSCAR:
```
ZrCdAu3
1.0
-2.984 3.490 2.629
-3.537 -3.798 1.028
2.565 -1.178 4.475
Au Cd Zr
3 1 1
direct
0.500 0.000 0.000 Au
0.000 0.500 0.000 Au
0.000 0.000 0.500 Au
0.500 0.500 0.500 Cd
0.000 0.000 0.000 Zr
```

Summary:
Density of states at the Fermi level, states/eV per atom: 0.647
Calculated density, g/cm³: 8.9
Raw total energy, eV/atom: -3.3150
Excess energy over the best structure of this formula in the dataset, meV/atom: 955.2
Symmetry: Pm-3m, No. 221